Record 1
First-principles (PBE-GGA) data for Co3Ni6Pt2 after structural relaxation, as listed in the Alexandria database.

a = 8.946 Å, b = 12.026 Å, c = 2.594 Å
α = 90.00°, β = 90.00°, γ = 90.00°
Space group Cmmm (No. 65)
Asymmetric unit:
Co 0.000 0.000 0.000 x2
Co 0.000 0.174 0.500 x4
Ni 0.000 0.343 0.000 x4
Ni 0.219 0.156 0.000 x8
Pt 0.155 0.500 0.500 x4

Values from the calculation:
The value obtained for the calculated volume is 12.7 Å³ per atom. Its magnetic moment is 19.70 μB per cell. The value obtained for the total DFT energy (no corrections) is -5.965 eV/atom.

---

Record 2
First-principles (PBE-GGA) data for Co23NiPt6 after structural relaxation, as listed in the Alexandria database.

a = 11.364 Å, b = 11.364 Å, c = 11.364 Å
α = 90.00°, β = 90.00°, γ = 90.00°
Space group Fm-3m (No. 225)
Asymmetric unit:
Co 0.000 0.000 0.000 x4
Co 0.000 0.250 0.250 x24
Co 0.120 0.120 0.120 x32
Co 0.170 0.170 0.330 x32
Ni 0.000 0.000 0.500 x4
Pt 0.000 0.000 0.278 x24

Values from the calculation:
The value obtained for the calculated volume is 12.2 Å³ per atom. Its magnetic moment is 174.93 μB per cell. The value obtained for the total DFT energy (no corrections) is -6.808 eV/atom.